Entry 1:
A plane-wave DFT calculation with PBE-GGA was carried out for a geometry-optimized Na2In3Hg6 structure.

Computed properties:
Energy above the lowest structure with this stoichiometry   1.152 kcal/mol of atoms
DFT formation energy   -0.0428 eV per atom

Cell lengths 4.9214, 4.9214, 27.2790 Å; angles 90.00, 90.00, 90.00 degrees
With the nearest neighbours (Å) after each atom.
Space group I4/mmm (No. 139)
Unique sites:
Na1 0.0000 0.0000 0.1452 [4 per cell]  5 Hg 3.04-3.31
In1 0.0000 0.0000 0.3694 [4 per cell]  5 Hg 3.06-3.07
In2 0.0000 0.0000 0.5000 [2 per cell]  8 Hg 3.02
Hg1 0.0000 0.0000 0.2568 [4 per cell]  1 Na 3.04, 1 In 3.07
Hg2 0.0000 0.5000 0.0641 [8 per cell]  4 In 3.02-3.06, 2 Na 3.31

---

Entry 2:
A plane-wave DFT calculation with PBE-GGA was carried out for a geometry-optimized La6Ge2IBr3 structure.

Computed properties:
Formation energy (no corrections)   -115 kJ/mol of atoms

Cell lengths 19.1861, 4.4677, 8.8198 Å; angles 90.00, 101.23, 90.00 degrees
With the nearest neighbours (Å) after each atom.
Space group C2/m (No. 12)
Unique sites:
La1 0.0102 0.0000 0.2659 [4 per cell]  1 Ge 2.96, 3 Br 3.07-3.27, 2 I 3.22
La2 0.1724 0.5000 0.1093 [4 per cell]  2 Ge 3.00, 3 Br 3.10-3.29, 1 I 3.26
La3 0.1723 0.5000 0.5694 [4 per cell]  3 Ge 3.02-3.04, 3 Br 3.24-3.25
Ge1 0.1676 0.0000 0.3333 [4 per cell]  6 La 2.96-3.04
I1 0.0000 0.5000 0.0000 [2 per cell]  6 La 3.22-3.26
Br1 0.0000 0.5000 0.5000 [2 per cell]  6 La 3.07-3.24
Br2 0.1631 0.0000 0.8329 [4 per cell]  6 La 3.10-3.29

---

Entry 3:
A plane-wave DFT calculation with PBE-GGA was carried out for a geometry-optimized Fe5Ir4Rh2 structure.

Computed properties:
DFT formation energy   0.0634 eV per atom

Cell lengths 6.6276, 16.3164, 2.7439 Å; angles 90.00, 90.00, 90.00 degrees
With the nearest neighbours (Å) after each atom.
Space group Pbam (No. 55)
Unique sites:
Fe1 0.0000 0.0000 0.0000 [2 per cell]  4 Fe 2.50-2.74, 8 Ir 2.63-2.76
Fe2 0.1682 0.4265 0.0000 [4 per cell]  3 Fe 2.50-2.74, 6 Ir 2.56-2.63, 2 Rh 2.56
Fe3 0.2381 0.6935 0.0000 [4 per cell]  4 Rh 2.51-2.52, 4 Ir 2.61-2.63, 2 Fe 2.74
Ir1 0.0419 0.8634 0.5000 [4 per cell]  6 Fe 2.58-2.63, 2 Rh 2.72-2.77, 3 Ir 2.74-2.78
Ir2 0.1691 0.5591 0.5000 [4 per cell]  8 Fe 2.56-2.76, 3 Ir 2.74-2.78, 1 Rh 2.84
Rh1 0.0795 0.2990 0.5000 [4 per cell]  6 Fe 2.51-2.56, 2 Ir 2.72-2.77, 2 Rh 2.74

---

Entry 4:
A plane-wave DFT calculation with PBE-GGA was carried out for a geometry-optimized BiPb2Se2 structure.

Computed properties:
Formation energy (no corrections)   1 kJ/mol of atoms
Energy above the lowest structure with this stoichiometry   4.742 kcal/mol of atoms

Cell lengths 5.8200, 5.8200, 9.4875 Å; angles 90.00, 90.00, 90.00 degrees
With the nearest neighbours (Å) after each atom.
Space group I4/mmm (No. 139)
Unique sites:
Bi1 0.0000 0.0000 0.0000 [2 per cell]  2 Pb 3.14
Pb1 0.0000 0.0000 0.3308 [4 per cell]  4 Se 3.01, 1 Bi 3.14, 1 Pb 3.21
Se1 0.0000 0.5000 0.2500 [4 per cell]  4 Pb 3.01

---

Entry 5:
A plane-wave DFT calculation with PBE-GGA was carried out for a geometry-optimized Pu2GaO structure.

Computed properties:
Formation energy (no corrections)   -103 kJ/mol of atoms
Energy above the lowest structure with this stoichiometry   2.840 kcal/mol of atoms

Cell lengths 3.0564, 3.0564, 7.7094 Å; angles 90.00, 90.00, 90.00 degrees
With the nearest neighbours (Å) after each atom.
Space group P4/mmm (No. 123)
Unique sites:
Pu1 0.0000 0.0000 0.2061 [2 per cell]  4 O 2.68
Ga1 0.5000 0.5000 0.5000 [1 per cell]  4 Ga 3.06, 8 Pu 3.13
O1 0.5000 0.5000 0.0000 [1 per cell]  8 Pu 2.68

---

Entry 6:
A plane-wave DFT calculation with PBE-GGA was carried out for a geometry-optimized SnSbW2Au structure.

Computed properties:
Formation energy (no corrections)   215 kJ/mol of atoms

Cell lengths 4.9660, 4.9660, 5.5299 Å; angles 90.00, 90.00, 90.00 degrees
With the nearest neighbours (Å) after each atom.
Space group P4/mmm (No. 123)
Unique sites:
Sn1 0.0000 0.0000 0.0000 [1 per cell]  2 Sb 2.76
Sb1 0.0000 0.0000 0.5000 [1 per cell]  4 W 2.48, 2 Sn 2.76
W1 0.0000 0.5000 0.5000 [2 per cell]  2 Sb 2.48
Au1 0.5000 0.5000 0.0000 [1 per cell]  4 Sn 3.51, 8 W 3.72

---

Entry 7:
A plane-wave DFT calculation with PBE-GGA was carried out for a geometry-optimized PmDyAs2 structure.

Computed properties:
Energy above the lowest structure with this stoichiometry   3.756 kcal/mol of atoms
DFT formation energy   -1.3657 eV per atom

Cell lengths 4.1420, 4.1420, 21.3402 Å; angles 90.00, 90.00, 120.00 degrees
With the nearest neighbours (Å) after each atom.
Space group R3m (No. 160, hexagonal axes)
Unique sites:
Pm1 0.0000 0.0000 0.0000 [3 per cell]  6 As 2.96-3.03
Dy1 0.0000 0.0000 0.8286 [3 per cell]  6 As 2.94-2.99
As1 0.0000 0.0000 0.4152 [3 per cell]  3 Dy 2.94, 3 Pm 2.96
As2 0.0000 0.0000 0.5795 [3 per cell]  3 Dy 2.99, 3 Pm 3.03

---

Entry 8:
A plane-wave DFT calculation with PBE-GGA was carried out for a geometry-optimized Hf4BSb2 structure.

Computed properties:
Formation energy (no corrections)   -40 kJ/mol of atoms
Energy above the lowest structure with this stoichiometry   0.000 kcal/mol of atoms

Cell lengths 7.7240, 8.2882, 8.9094 Å; angles 90.00, 90.00, 90.00 degrees
With the nearest neighbours (Å) after each atom.
Space group I2_12_12_1 (No. 24)
Unique sites:
Hf1 0.0695 0.0219 0.0783 [8 per cell]  1 B 2.33
Hf2 0.2266 0.3160 0.6639 [8 per cell]  2 B 2.40-2.65
B1 0.0000 0.2500 0.4494 [4 per cell]  4 Hf 2.33-2.40
Sb1 0.1027 0.0000 0.7500 [4 per cell]  8 Hf 2.89-3.06
Sb2 0.2500 0.3341 0.0000 [4 per cell]  6 Hf 2.83-3.02

---

no.,raw total energy (eV/f.u.),total magnetic moment (μB per formula unit)
1,-13.1,0.0
2,-59.7,0.0
3,-91.8,13.5
4,-18.2,0.0
5,-40.9,11.2
6,-26.2,1.3
7,-24.1,0.0
8,-57.6,0.0